1.
# YSc3

A crystal of YSc3 relaxed with PBEsol (meta-GGA SCAN, the Alexandria database).

```
YSc3
1.0
3.2913 0.0000 0.0000
-1.6457 5.4366 0.0015
0.0000 -0.9948 5.5983
Y Sc
1 3
Direct
0.5000 0.0000 0.0000
0.2529 0.5057 0.2557
0.7471 0.4943 0.7443
0.0000 0.0000 0.5000
```

- uncorrected energy (eV per atom) = -17.54
- offset from the most stable computed form (meV per atom) = 83
- DFT formation energy (eV per formula unit) = 0.396
- space group = C2/m, No. 12

2.
# BaIrO3

A crystal of BaIrO3 relaxed with PBEsol (meta-GGA SCAN, the Alexandria database).

```
BaIrO3
1.0
-5.3591 1.2063 1.6430
-3.3021 -4.1441 2.2763
1.9889 2.6226 14.5657
Ir O Ba
6 18 6
Direct
0.0000 0.0000 0.0000
0.5341 0.6068 0.3251
0.9193 0.9855 0.1758
0.5000 0.5000 0.5000
0.4659 0.3932 0.6749
0.0807 0.0145 0.8242
0.6445 0.1418 0.0841
0.8873 0.3218 0.9035
0.8705 0.8582 0.9159
0.3067 0.1518 0.7368
0.6933 0.8482 0.2632
0.1952 0.8482 0.2632
0.1295 0.1418 0.0841
0.6444 0.1362 0.5749
0.1127 0.6782 0.0965
0.8048 0.1518 0.7368
0.8337 0.3929 0.4056
0.3555 0.8582 0.9159
0.3556 0.8638 0.4251
0.7101 0.3523 0.2275
0.3678 0.3929 0.4056
0.2899 0.6477 0.7725
0.6322 0.6071 0.5944
0.1663 0.6071 0.5944
0.3665 0.3393 0.9278
0.2242 0.3031 0.2486
0.7758 0.6969 0.7514
0.1484 0.1264 0.5767
0.8516 0.8736 0.4233
0.6335 0.6607 0.0722
```

- uncorrected energy (eV per atom) = -27.66
- formation energy (no corrections) (meV/atom) = -1790.9
- space group = C2/m, No. 12

3.
# InIrSe2

A crystal of InIrSe2 relaxed with PBEsol (meta-GGA SCAN, the Alexandria database).

```
InIrSe2
1.0
2.9980 0.0000 0.0000
0.0000 4.5205 0.0000
-1.4990 -2.2602 5.8811
Ir In Se
1 1 2
Direct
0.2663 0.7663 0.5325
0.5599 0.5599 0.1199
0.9358 0.9358 0.8717
0.7380 0.2380 0.4759
```

- uncorrected energy (eV per atom) = -36.00
- formation energy (no corrections) (meV/atom) = 164.0
- space group = Imm2, No. 44

4.
# Ta2MoW

A crystal of Ta2MoW relaxed with PBEsol (meta-GGA SCAN, the Alexandria database).

```
Ta2MoW
1.0
3.1983 0.0000 0.0000
0.0000 3.1983 0.0000
0.0000 0.0000 6.4027
W Ta Mo
1 2 1
Direct
0.5000 0.5000 0.0000
0.0000 0.0000 0.7484
0.0000 0.0000 0.2516
0.5000 0.5000 0.5000
```

- uncorrected energy (eV per atom) = -59.60
- DFT formation energy (eV per formula unit) = -0.648
- space group = P4/mmm, No. 123

5.
# Li2YMoSe

A crystal of Li2YMoSe relaxed with PBEsol (meta-GGA SCAN, the Alexandria database).

```
Li2YMoSe
1.0
4.5416 0.0000 0.0000
0.0000 4.5416 0.0000
0.0000 0.0000 5.4906
Y Li Mo Se
1 2 1 1
Direct
0.0000 0.0000 0.5000
0.5000 0.0000 0.0000
0.0000 0.5000 0.0000
0.5000 0.5000 0.5000
0.0000 0.0000 0.0000
```

- uncorrected energy (eV per atom) = -17.51
- formation energy (no corrections) (meV/atom) = 9.6
- space group = P4/mmm, No. 123

6.
# TlCrW2

A crystal of TlCrW2 relaxed with PBEsol (meta-GGA SCAN, the Alexandria database).

```
TlCrW2
1.0
4.5162 0.0000 0.0000
2.2581 3.9111 0.0000
2.2581 1.3037 3.6874
W Tl Cr
2 1 1
Direct
0.7500 0.7500 0.7500
0.0000 0.0000 0.0000
0.2500 0.2500 0.2500
0.5000 0.5000 0.5000
```

- uncorrected energy (eV per atom) = -56.83
- offset from the most stable computed form (meV per atom) = 58
- DFT formation energy (eV per formula unit) = 2.795
- space group = F-43m, No. 216

Among the records above, which one has the lowest uncorrected energy?
Ta2MoW

Which of these has the lowest uncorrected energy?
Ta2MoW

Copy entry 3 word for word.
# InIrSe2

A crystal of InIrSe2 relaxed with PBEsol (meta-GGA SCAN, the Alexandria database).

```
InIrSe2
1.0
2.9980 0.0000 0.0000
0.0000 4.5205 0.0000
-1.4990 -2.2602 5.8811
Ir In Se
1 1 2
Direct
0.2663 0.7663 0.5325
0.5599 0.5599 0.1199
0.9358 0.9358 0.8717
0.7380 0.2380 0.4759
```

- uncorrected energy (eV per atom) = -36.00
- formation energy (no corrections) (meV/atom) = 164.0
- space group = Imm2, No. 44

Number 6 is which compound?
TlCrW2